Entry 1:
Tb5Dy4In: optimized geometry, PBE.

Calculated values
Density of states at the Fermi level (states/eV per cell): 13.93
Formation energy (kJ/mol of formula units): 120
Offset from the most stable computed form (kJ/mol of formula units): 105

```
Tb5Dy4In
1.0
-5.2881 5.2881 2.9071
5.2881 -5.2881 2.9071
5.2881 5.2881 -2.9071
Tb Dy In
5 4 1
Direct
0.0000 0.0000 0.0000
0.0993 0.0993 0.6278
0.0993 0.4714 0.0000
0.4714 0.0993 0.0000
0.4714 0.4714 0.3722
0.1057 0.7901 0.3155
0.4746 0.7901 0.6845
0.7901 0.1057 0.3155
0.7901 0.4746 0.6845
0.5181 0.5181 0.0000
```



Entry 2:
TbDy6In2: optimized geometry, PBE.

Calculated values
Density of states at the Fermi level (states/eV per cell): 13.28
Formation energy (kJ/mol of formula units): 280
Offset from the most stable computed form (kJ/mol of formula units): 456

```
TbDy6In2
1.0
-3.1221 3.1221 7.6218
3.1221 -3.1221 7.6218
3.1221 3.1221 -7.6218
Tb Dy In
1 6 2
Direct
0.0000 0.0000 0.0000
0.2354 0.5894 0.0000
0.2500 0.7500 0.5000
0.4106 0.4106 0.6460
0.5894 0.2354 0.0000
0.7500 0.2500 0.5000
0.7646 0.7646 0.3540
0.2120 0.2120 0.0000
0.7880 0.7880 0.0000
```



Entry 3:
Tb2Dy4In: optimized geometry, PBE.

Calculated values
Density of states at the Fermi level (states/eV per cell): 19.97
Formation energy (kJ/mol of formula units): -26
Offset from the most stable computed form (kJ/mol of formula units): 0

```
Tb2Dy4In
1.0
0.0000 10.9002 3.9382
5.0994 0.0000 3.9382
5.0994 10.9002 0.0000
Tb Dy In
4 8 2
Direct
0.2035 0.7965 0.2723
0.5223 0.9777 0.4535
0.7965 0.2035 0.7277
0.9777 0.5223 0.0465
0.0559 0.7496 0.6742
0.1659 0.9835 0.9962
0.2538 0.3956 0.0841
0.3956 0.2538 0.2665
0.5758 0.7298 0.1941
0.7298 0.5758 0.5004
0.7496 0.0559 0.5202
0.9835 0.1659 0.8544
0.4202 0.4202 0.5798
0.6702 0.6702 0.8298
```



Entry 4:
Tb5Dy3In4: optimized geometry, PBE.

Calculated values
Density of states at the Fermi level (states/eV per cell): 12.26
Formation energy (kJ/mol of formula units): -29

```
Tb5Dy3In4
1.0
8.8432 -2.5913 0.0000
8.8432 2.5913 0.0000
-3.1371 0.0000 7.7566
Tb Dy In
5 3 4
Direct
0.0000 0.0000 0.0000
0.0935 0.0935 0.4481
0.3165 0.3165 0.7341
0.6835 0.6835 0.2659
0.9065 0.9065 0.5519
0.1669 0.1669 0.9150
0.5000 0.5000 0.0000
0.8331 0.8331 0.0850
0.2911 0.2911 0.3211
0.4599 0.4599 0.3133
0.5401 0.5401 0.6867
0.7089 0.7089 0.6789
```